# 1
The following is a DFT calculation (PBE-GGA) of a geometry-optimized HfBiSbTe2 structure.

Structure (CIF):
```
data_HfBiSbTe2
_cell_length_a 5.496
_cell_length_b 5.496
_cell_length_c 5.643
_cell_angle_alpha 90.00
_cell_angle_beta 90.00
_cell_angle_gamma 90.00
_symmetry_space_group_name_H-M 'P 4/m m m'
_symmetry_Int_Tables_number 123
_symmetry_space_group_name_Hall '-P 4 2'
loop_
_atom_site_label
_atom_site_fract_x
_atom_site_fract_y
_atom_site_fract_z
Hf1 0.000 0.000 0.000
Bi1 0.500 0.500 0.500
Sb1 0.000 0.000 0.500
Te1 0.000 0.500 0.000
```

Uncorrected formation energy = 134 meV per atom
Spin magnetization = 0.0 μB per formula unit

# 2
The following is a DFT calculation (PBE-GGA) of a geometry-optimized HfTi2BiSb structure.

Structure (CIF):
```
data_HfTi2BiSb
_cell_length_a 5.162
_cell_length_b 5.162
_cell_length_c 5.427
_cell_angle_alpha 90.00
_cell_angle_beta 90.00
_cell_angle_gamma 90.00
_symmetry_space_group_name_H-M 'P 4/m m m'
_symmetry_Int_Tables_number 123
_symmetry_space_group_name_Hall '-P 4 2'
loop_
_atom_site_label
_atom_site_fract_x
_atom_site_fract_y
_atom_site_fract_z
Hf1 0.000 0.000 0.000
Ti1 0.000 0.500 0.500
Bi1 0.000 0.000 0.500
Sb1 0.500 0.500 0.000
```

Uncorrected formation energy = 1017 meV per atom
Spin magnetization = 4.5 μB per formula unit

# 3
The following is a DFT calculation (PBE-GGA) of a geometry-optimized HfScBi2 structure.

Structure (CIF):
```
data_HfScBi2
_cell_length_a 3.4140
_cell_length_b 3.4140
_cell_length_c 32.8036
_cell_angle_alpha 90.00
_cell_angle_beta 90.00
_cell_angle_gamma 120.00
_symmetry_space_group_name_H-M 'R -3 m'
_symmetry_Int_Tables_number 166
_symmetry_space_group_name_Hall '-R 3 2"'
loop_
_atom_site_label
_atom_site_fract_x
_atom_site_fract_y
_atom_site_fract_z
Hf1 0.0000 0.0000 0.0000
Sc1 0.0000 0.0000 0.5000
Bi1 0.0000 0.0000 0.4073
```

Spin magnetization = 0.0 μB per formula unit
Energy = -0.4368 Ry/atom

# 4
The following is a DFT calculation (PBE-GGA) of a geometry-optimized HfSc2Bi structure.

Structure (CIF):
```
data_HfSc2Bi
_cell_length_a 8.242
_cell_length_b 8.242
_cell_length_c 6.037
_cell_angle_alpha 90.00
_cell_angle_beta 90.00
_cell_angle_gamma 90.00
_symmetry_space_group_name_H-M 'I -4 2 d'
_symmetry_Int_Tables_number 122
_symmetry_space_group_name_Hall 'I -4 2bw'
loop_
_atom_site_label
_atom_site_fract_x
_atom_site_fract_y
_atom_site_fract_z
Hf1 0.000 0.000 0.000
Sc1 0.237 0.250 0.625
Bi1 0.000 0.000 0.500
```

Spin magnetization = 0.0 μB per formula unit
Energy = -0.4697 Ry/atom

# 5
The following is a DFT calculation (PBE-GGA) of a geometry-optimized Hf3ScBi structure.

Structure (CIF):
```
data_Hf3ScBi
_cell_length_a 5.089
_cell_length_b 5.089
_cell_length_c 5.089
_cell_angle_alpha 90.00
_cell_angle_beta 90.00
_cell_angle_gamma 90.00
_symmetry_space_group_name_H-M 'P m -3 m'
_symmetry_Int_Tables_number 221
_symmetry_space_group_name_Hall '-P 4 2 3'
loop_
_atom_site_label
_atom_site_fract_x
_atom_site_fract_y
_atom_site_fract_z
Hf1 0.000 0.000 0.500
Sc1 0.000 0.000 0.000
Bi1 0.500 0.500 0.500
```

Spin magnetization = 0.0 μB per formula unit
Energy = -0.5068 Ry/atom

# 6
The following is a DFT calculation (PBE-GGA) of a geometry-optimized HfSc2Bi structure.

Structure (CIF):
```
data_HfSc2Bi
_cell_length_a 3.3640
_cell_length_b 3.3640
_cell_length_c 30.1720
_cell_angle_alpha 90.00
_cell_angle_beta 90.00
_cell_angle_gamma 120.00
_symmetry_space_group_name_H-M 'R -3 m'
_symmetry_Int_Tables_number 166
_symmetry_space_group_name_Hall '-R 3 2"'
loop_
_atom_site_label
_atom_site_fract_x
_atom_site_fract_y
_atom_site_fract_z
Hf1 0.0000 0.0000 0.0000
Sc1 0.0000 0.0000 0.2520
Bi1 0.0000 0.0000 0.5000
```

Spin magnetization = 0.0 μB per formula unit
Energy = -0.4962 Ry/atom

# 7
The following is a DFT calculation (PBE-GGA) of a geometry-optimized HfSc2Bi2 structure.

Structure (CIF):
```
data_HfSc2Bi2
_cell_length_a 7.887
_cell_length_b 7.887
_cell_length_c 3.974
_cell_angle_alpha 90.00
_cell_angle_beta 90.00
_cell_angle_gamma 90.00
_symmetry_space_group_name_H-M 'P 4/m b m'
_symmetry_Int_Tables_number 127
_symmetry_space_group_name_Hall '-P 4 2ab'
loop_
_atom_site_label
_atom_site_fract_x
_atom_site_fract_y
_atom_site_fract_z
Hf1 0.000 0.000 0.000
Sc1 0.155 0.345 0.500
Bi1 0.149 0.649 0.000
```

Spin magnetization = 0.0 μB per formula unit
Energy = -0.4728 Ry/atom

# 8
The following is a DFT calculation (PBE-GGA) of a geometry-optimized HfScBi2 structure.

Structure (CIF):
```
data_HfScBi2
_cell_length_a 7.360
_cell_length_b 7.360
_cell_length_c 7.360
_cell_angle_alpha 90.00
_cell_angle_beta 90.00
_cell_angle_gamma 90.00
_symmetry_space_group_name_H-M 'F m -3 m'
_symmetry_Int_Tables_number 225
_symmetry_space_group_name_Hall '-F 4 2 3'
loop_
_atom_site_label
_atom_site_fract_x
_atom_site_fract_y
_atom_site_fract_z
Hf1 0.000 0.000 0.000
Sc1 0.000 0.000 0.500
Bi1 0.250 0.250 0.250
```

Spin magnetization = 0.7 μB per formula unit
Energy = -0.4542 Ry/atom